# meta-GGA SCAN SrLi3H, single point on PBEsol structure
# - energy (eV/atom) = -6.401
# - total moment (μB/f.u.) = 0.0
# - SG = Pm-3m
data_SrLi3H
_chemical_formula_sum 'Sr1 Li3 H1'
_symmetry_space_group_name_H-M 'P 1'
_symmetry_Int_Tables_number 1
_cell_length_a 4.860
_cell_length_b 4.860
_cell_length_c 4.860
_cell_angle_alpha 90.00
_cell_angle_beta 90.00
_cell_angle_gamma 90.00
loop_
_symmetry_equiv_pos_as_xyz
'x,y,z'
loop_
_atom_site_label
_atom_site_type_symbol
_atom_site_fract_x
_atom_site_fract_y
_atom_site_fract_z
H1 H 0.000 0.000 0.000
Sr1 Sr 0.500 0.500 0.500
Li1 Li 0.000 0.000 0.500
Li2 Li 0.500 0.000 0.000
Li3 Li 0.000 0.500 0.000